1.
This record from the Alexandria database describes a geometry-optimized LaNi2Os structure. The functional is PBE.

## Properties
* energy of formation: 69 kJ/mol of formula units
* DOS at the Fermi energy: 1.17 states/eV per atom
* total DFT energy (no corrections): -6.75 eV per atom

The structure in POSCAR format:
```
LaNi2Os
1.0
3.6458 0.0000 0.0000
0.0000 2.7973 0.2244
0.0000 2.5831 6.6730
Os Ni La
1 2 1
direct
0.5000 0.2500 0.2500
0.0000 0.5574 0.4338
0.0000 0.9426 0.0662
0.5000 0.7500 0.7500
```

---

2.
This record from the Alexandria database describes a geometry-optimized La2Cu2Cl structure. The functional is PBE.

## Properties
* raw formation energy: -0.59 eV per atom
* DOS at the Fermi energy: 1.09 states/eV per atom
* total DFT energy (no corrections): -4.57 eV per atom

The structure in POSCAR format:
```
La2Cu2Cl
1.0
-2.2913 -6.8341 3.6250
6.7384 -3.6202 -2.5660
1.8364 1.1109 3.2552
Cl Cu La
2 4 4
direct
0.0000 0.0000 0.0000
0.5000 0.5000 0.0000
0.6077 0.8923 0.5000
0.3923 0.1077 0.5000
0.1077 0.6077 0.5000
0.8923 0.3923 0.5000
0.6825 0.1825 0.0000
0.1825 0.3175 0.0000
0.8175 0.6825 0.0000
0.3175 0.8175 0.0000
```

---

3.
This record from the Alexandria database describes a geometry-optimized Pr3SiPb2 structure. The functional is PBE.

## Properties
* raw formation energy: -0.52 eV per atom
* DOS at the Fermi energy: 0.81 states/eV per atom
* total DFT energy (no corrections): -5.05 eV per atom

The structure in POSCAR format:
```
Pr3SiPb2
1.0
4.4823 0.0000 0.0000
0.0000 12.4540 0.0000
0.0000 0.0000 13.0497
Pr Si Pb
12 4 8
direct
0.2500 0.4546 0.3885
0.2500 0.0454 0.8885
0.7500 0.2166 0.2604
0.2500 0.7166 0.2396
0.7500 0.6185 0.9414
0.2500 0.1185 0.5586
0.2500 0.3815 0.0586
0.7500 0.2834 0.7604
0.2500 0.7834 0.7396
0.7500 0.9546 0.1115
0.7500 0.5454 0.6115
0.7500 0.8815 0.4414
0.2500 0.3707 0.6247
0.7500 0.6293 0.3753
0.2500 0.1293 0.1247
0.7500 0.8707 0.8753
0.2500 0.4958 0.8071
0.2500 0.7940 0.0041
0.7500 0.9958 0.6929
0.7500 0.2940 0.4959
0.7500 0.5042 0.1929
0.7500 0.2060 0.9959
0.2500 0.0042 0.3071
0.2500 0.7060 0.5041
```

---

4.
This record from the Alexandria database describes a geometry-optimized LiTm3Si6Ni2 structure. The functional is PBE.

## Properties
* raw formation energy: -0.31 eV per atom
* DOS at the Fermi energy: 0.42 states/eV per atom
* total DFT energy (no corrections): -5.26 eV per atom

The structure in POSCAR format:
```
LiTm3Si6Ni2
1.0
5.6001 0.0000 0.0000
-2.8001 4.8498 0.0000
0.0000 0.0000 7.8696
Si Tm Ni Li
6 3 2 1
direct
0.1882 0.8118 0.2736
0.8118 0.6236 0.7264
0.3764 0.1882 0.7264
0.1882 0.3764 0.2736
0.8118 0.1882 0.7264
0.6236 0.8118 0.2736
0.3333 0.6667 0.6056
0.0000 0.0000 0.0000
0.6667 0.3333 0.3944
0.6667 0.3333 0.9617
0.3333 0.6667 0.0383
0.0000 0.0000 0.5000
```

---

5.
This record from the Alexandria database describes a geometry-optimized Tb7HoTh3 structure. The functional is PBE.

## Properties
* energy of formation: 164 kJ/mol of formula units
* DOS at the Fermi energy: 1.60 states/eV per atom
* total DFT energy (no corrections): -5.23 eV per atom

The structure in POSCAR format:
```
Tb7HoTh3
1.0
6.5725 0.7198 -1.0837
0.1414 6.4375 0.3697
-0.3811 0.5917 8.6297
Tb Ho Th
7 1 3
direct
0.2303 0.2944 0.2046
0.7310 0.0081 0.4251
0.2690 0.9919 0.5749
0.7697 0.7056 0.7954
0.7149 0.4283 0.1443
0.2851 0.5717 0.8557
0.0000 0.5000 0.5000
0.5000 0.5000 0.5000
0.5000 0.0000 0.0000
0.0529 0.8252 0.1651
0.9471 0.1748 0.8349
```

---

6.
This record from the Alexandria database describes a geometry-optimized Zr2InB2 structure. The functional is PBE.

## Properties
* energy of formation: -209 kJ/mol of formula units
* DOS at the Fermi energy: 0.24 states/eV per atom
* total DFT energy (no corrections): -7.07 eV per atom

The structure in POSCAR format:
```
Zr2InB2
1.0
-1.7971 4.8902 3.6432
-4.9676 1.0290 -3.8316
-2.0412 -2.2679 2.0373
B Zr In
4 4 2
direct
0.5964 0.0964 0.0000
0.0964 0.4036 0.0000
0.4036 0.9036 0.0000
0.9036 0.5964 0.0000
0.8243 0.3243 0.5000
0.3243 0.1757 0.5000
0.1757 0.6757 0.5000
0.6757 0.8243 0.5000
0.0000 0.0000 0.0000
0.5000 0.5000 0.0000
```